Entry 1:
# HfCr3Cd PBE relaxed
data_HfCr3Cd
_chemical_formula_sum 'Hf1 Cr3 Cd1'
_symmetry_space_group_name_H-M 'P m -3 m'
_symmetry_Int_Tables_number 221
_symmetry_space_group_name_Hall '-P 4 2 3'
_cell_length_a 4.829
_cell_length_b 4.829
_cell_length_c 4.829
_cell_angle_alpha 90.00
_cell_angle_beta 90.00
_cell_angle_gamma 90.00
loop_
_atom_site_label
_atom_site_type_symbol
_atom_site_fract_x
_atom_site_fract_y
_atom_site_fract_z
Hf1 Hf 0.000 0.000 0.000
Cr1 Cr 0.000 0.000 0.500
Cd1 Cd 0.500 0.500 0.500
# D(E_F)   3.829 states/eV/cell
# V   112.6 Å³/cell
# Formation energy   760 kJ/mol of formula units
# Density   6.59 Mg/m³

=====

Entry 2:
# LaZn2Tc PBE relaxed
data_LaZn2Tc
_chemical_formula_sum 'La3 Zn6 Tc3'
_symmetry_space_group_name_H-M 'R -3 m'
_symmetry_Int_Tables_number 166
_symmetry_space_group_name_Hall '-R 3 2"'
_cell_length_a 2.9674
_cell_length_b 2.9674
_cell_length_c 29.7206
_cell_angle_alpha 90.00
_cell_angle_beta 90.00
_cell_angle_gamma 120.00
loop_
_atom_site_label
_atom_site_type_symbol
_atom_site_fract_x
_atom_site_fract_y
_atom_site_fract_z
La1 La 0.0000 0.0000 0.0000
Zn1 Zn 0.0000 0.0000 0.2375
Tc1 Tc 0.0000 0.0000 0.5000
# D(E_F)   9.657 states/eV/cell
# V   226.6 Å³/cell
# Formation energy   128 kJ/mol of formula units
# Density   8.08 Mg/m³